[1]
First-principles (PBE) data for crystalline Ca5ZnGa4 at its relaxed geometry, as listed in Alexandria via LeMat-Bulk.

Total DFT energy (no corrections) = -2.741 eV per atom
Energy of formation = -402 meV/atom

a = 3.699 Å, b = 3.699 Å, c = 18.108 Å
α = 90.00°, β = 90.00°, γ = 90.00°
Atoms (fractional coordinates):
Ca (0.500, 0.500, 0.101)
Ca (0.500, 0.500, 0.301)
Ca (0.500, 0.500, 0.500)
Ca (0.500, 0.500, 0.699)
Ca (0.500, 0.500, 0.899)
Zn (0.000, 0.000, 0.000)
Ga (0.000, 0.000, 0.202)
Ga (0.000, 0.000, 0.400)
Ga (0.000, 0.000, 0.600)
Ga (0.000, 0.000, 0.798)

---

[2]
First-principles (PBE) data for crystalline Pu2Al4GaPd3 at its relaxed geometry, as listed in Alexandria via LeMat-Bulk.

Total DFT energy (no corrections) = -6.792 eV per atom
Energy of formation = -568 meV/atom

a = 4.233 Å, b = 4.233 Å, c = 10.673 Å
α = 90.00°, β = 90.00°, γ = 90.00°
Atoms (fractional coordinates):
Pu (0.500, 0.000, 0.252)
Pu (0.000, 0.500, 0.748)
Al (0.500, 0.500, 0.000)
Al (0.000, 0.000, 0.000)
Al (0.500, 0.000, 0.638)
Al (0.000, 0.500, 0.362)
Ga (0.500, 0.500, 0.500)
Pd (0.000, 0.000, 0.500)
Pd (0.500, 0.000, 0.869)
Pd (0.000, 0.500, 0.131)

---

[3]
First-principles (PBE) data for crystalline SmPbO2 at its relaxed geometry, as listed in Alexandria via LeMat-Bulk.

Total DFT energy (no corrections) = -6.895 eV per atom
ΔE_f (raw) = -2.31 eV/atom

a = 3.597 Å, b = 3.597 Å, c = 7.435 Å
α = 76.00°, β = 76.00°, γ = 60.00°
Atoms (fractional coordinates):
Pb (0.000, 0.000, 0.000)
O (0.114, 0.114, 0.658)
O (0.886, 0.886, 0.342)
Sm (0.500, 0.500, 0.500)

---

[4]
First-principles (PBE) data for crystalline Sr3Zr5Te12 at its relaxed geometry, as listed in Alexandria via LeMat-Bulk.

Total DFT energy (no corrections) = -5.179 eV per atom
ΔE_f (raw) = -0.90 eV/atom

a = 15.721 Å, b = 15.721 Å, c = 15.721 Å
α = 109.47°, β = 109.47°, γ = 109.47°
Atoms (fractional coordinates):
Sr (0.750, 0.375, 0.125)
Sr (0.875, 0.750, 0.125)
Sr (0.375, 0.750, 0.625)
Sr (0.250, 0.125, 0.375)
Sr (0.875, 0.125, 0.250)
Sr (0.375, 0.625, 0.250)
Sr (0.625, 0.375, 0.750)
Sr (0.125, 0.875, 0.750)
Sr (0.750, 0.875, 0.625)
Sr (0.625, 0.250, 0.375)
Sr (0.125, 0.250, 0.875)
Sr (0.250, 0.625, 0.875)
Zr (0.125, 0.375, 0.250)
Zr (0.000, 0.500, 0.000)
Zr (0.000, 0.000, 0.000)
Zr (0.375, 0.250, 0.125)
Zr (0.500, 0.000, 0.500)
Zr (0.500, 0.500, 0.000)
Zr (0.125, 0.750, 0.375)
Zr (0.750, 0.125, 0.875)
Zr (0.750, 0.625, 0.375)
Zr (0.375, 0.125, 0.750)
Zr (0.625, 0.875, 0.250)
Zr (0.500, 0.500, 0.500)
Zr (0.500, 0.000, 0.000)
Zr (0.000, 0.000, 0.500)
Zr (0.250, 0.375, 0.625)
Zr (0.250, 0.875, 0.125)
Zr (0.000, 0.500, 0.500)
Zr (0.875, 0.250, 0.625)
Zr (0.625, 0.750, 0.875)
Zr (0.875, 0.625, 0.750)
Te (0.708, 0.117, 0.030)
Te (0.322, 0.530, 0.413)
Te (0.970, 0.383, 0.292)
Te (0.530, 0.208, 0.117)
Te (0.591, 0.708, 0.678)
Te (0.970, 0.587, 0.178)
Te (0.322, 0.792, 0.409)
Te (0.087, 0.909, 0.117)
Te (0.587, 0.970, 0.678)
Te (0.708, 0.591, 0.178)
Te (0.792, 0.470, 0.383)
Te (0.822, 0.913, 0.030)
Te (0.117, 0.708, 0.530)
Te (0.383, 0.413, 0.091)
Te (0.091, 0.913, 0.383)
Te (0.409, 0.117, 0.587)
Te (0.091, 0.178, 0.208)
Te (0.470, 0.678, 0.087)
Te (0.822, 0.909, 0.292)
Te (0.117, 0.409, 0.087)
Te (0.383, 0.970, 0.792)
Te (0.587, 0.617, 0.409)
Te (0.913, 0.822, 0.530)
Te (0.792, 0.322, 0.909)
Te (0.413, 0.383, 0.591)
Te (0.087, 0.178, 0.470)
Te (0.208, 0.678, 0.091)
Te (0.178, 0.091, 0.708)
Te (0.617, 0.030, 0.208)
Te (0.883, 0.591, 0.913)
Te (0.530, 0.322, 0.913)
Te (0.591, 0.883, 0.413)
Te (0.909, 0.822, 0.792)
Te (0.909, 0.087, 0.617)
Te (0.883, 0.292, 0.470)
Te (0.178, 0.087, 0.970)
Te (0.617, 0.587, 0.909)
Te (0.413, 0.030, 0.322)
Te (0.292, 0.409, 0.822)
Te (0.208, 0.530, 0.617)
Te (0.913, 0.091, 0.883)
Te (0.678, 0.208, 0.591)
Te (0.470, 0.792, 0.883)
Te (0.030, 0.413, 0.822)
Te (0.409, 0.292, 0.322)
Te (0.030, 0.617, 0.708)
Te (0.678, 0.470, 0.587)
Te (0.292, 0.883, 0.970)

---

[5]
First-principles (PBE) data for crystalline MgScGe2 at its relaxed geometry, as listed in Alexandria via LeMat-Bulk.

Total DFT energy (no corrections) = -4.719 eV per atom
Energy of formation = -429 meV/atom

a = 3.932 Å, b = 4.352 Å, c = 4.352 Å
α = 90.00°, β = 90.00°, γ = 90.00°
Atoms (fractional coordinates):
Sc (0.500, 0.000, 0.000)
Ge (0.000, 0.000, 0.500)
Ge (0.000, 0.500, 0.000)
Mg (0.500, 0.500, 0.500)

---

[6]
First-principles (PBE) data for crystalline Cs4PaS5 at its relaxed geometry, as listed in Alexandria via LeMat-Bulk.

Total DFT energy (no corrections) = -4.625 eV per atom
ΔE_f (raw) = -1.27 eV/atom

a = 7.109 Å, b = 8.349 Å, c = 8.349 Å
α = 79.56°, β = 64.80°, γ = 64.80°
Atoms (fractional coordinates):
Cs (0.419, 0.388, 0.792)
Cs (0.807, 0.792, 0.612)
Cs (0.211, 0.208, 0.388)
Cs (0.599, 0.612, 0.208)
Pa (0.055, 0.000, 0.000)
S (0.928, 0.304, 0.845)
S (0.232, 0.845, 0.696)
S (0.772, 0.155, 0.304)
S (0.077, 0.696, 0.155)
S (0.413, 0.000, 0.000)

---

[7]
First-principles (PBE) data for crystalline Os2Br at its relaxed geometry, as listed in Alexandria via LeMat-Bulk.

Total DFT energy (no corrections) = -6.919 eV per atom
Excess energy over the best structure of this formula in the dataset = 0.5838 eV per atom
ΔE_f (raw) = 1.12 eV/atom

a = 4.025 Å, b = 4.025 Å, c = 7.648 Å
α = 90.00°, β = 90.00°, γ = 120.00°
Atoms (fractional coordinates):
Os (0.667, 0.333, 0.432)
Os (0.333, 0.667, 0.932)
Os (0.333, 0.667, 0.568)
Os (0.667, 0.333, 0.068)
Br (0.000, 0.000, 0.250)
Br (0.000, 0.000, 0.750)

---

[8]
First-principles (PBE) data for crystalline SrZrSb at its relaxed geometry, as listed in Alexandria via LeMat-Bulk.

Total DFT energy (no corrections) = -5.514 eV per atom
Excess energy over the best structure of this formula in the dataset = 0.0000 eV per atom
ΔE_f (raw) = -0.73 eV/atom

a = 4.503 Å, b = 4.503 Å, c = 8.783 Å
α = 90.00°, β = 90.00°, γ = 90.00°
Atoms (fractional coordinates):
Sr (0.000, 0.500, 0.843)
Sr (0.500, 0.000, 0.157)
Sb (0.000, 0.500, 0.262)
Sb (0.500, 0.000, 0.738)
Zr (0.500, 0.500, 0.500)
Zr (0.000, 0.000, 0.500)

---

[9]
First-principles (PBE) data for crystalline CsAc2TeSe4 at its relaxed geometry, as listed in Alexandria via LeMat-Bulk.

Total DFT energy (no corrections) = -4.648 eV per atom
ΔE_f (raw) = -1.38 eV/atom

a = 4.696 Å, b = 8.080 Å, c = 16.588 Å
α = 90.00°, β = 90.00°, γ = 106.89°
Atoms (fractional coordinates):
Cs (0.150, 0.300, 0.750)
Cs (0.850, 0.700, 0.250)
Ac (0.368, 0.736, 0.559)
Ac (0.632, 0.264, 0.059)
Ac (0.632, 0.264, 0.441)
Ac (0.368, 0.736, 0.941)
Te (0.897, 0.794, 0.750)
Te (0.103, 0.206, 0.250)
Se (0.263, 0.525, 0.094)
Se (0.737, 0.475, 0.594)
Se (0.737, 0.475, 0.906)
Se (0.263, 0.525, 0.406)
Se (0.000, 0.000, 0.500)
Se (0.000, 0.000, 0.000)
Se (0.470, 0.940, 0.750)
Se (0.530, 0.060, 0.250)

---

[10]
First-principles (PBE) data for crystalline K4MoBr at its relaxed geometry, as listed in Alexandria via LeMat-Bulk.

Total DFT energy (no corrections) = -2.174 eV per atom
ΔE_f (raw) = 0.64 eV/atom

a = 7.532 Å, b = 7.532 Å, c = 7.532 Å
α = 60.00°, β = 60.00°, γ = 60.00°
Atoms (fractional coordinates):
K (0.875, 0.375, 0.375)
K (0.375, 0.375, 0.875)
K (0.375, 0.875, 0.375)
K (0.375, 0.375, 0.375)
Mo (0.750, 0.750, 0.750)
Br (0.000, 0.000, 0.000)

---

[11]
First-principles (PBE) data for crystalline LiSm8Tc2 at its relaxed geometry, as listed in Alexandria via LeMat-Bulk.

Total DFT energy (no corrections) = -5.403 eV per atom
Energy of formation = 87 meV/atom

a = 5.839 Å, b = 7.944 Å, c = 7.944 Å
α = 112.56°, β = 98.33°, γ = 98.33°
Atoms (fractional coordinates):
Li (0.000, 0.002, 0.002)
Sm (0.583, 0.335, 0.072)
Sm (0.583, 0.072, 0.335)
Sm (0.206, 0.393, 0.393)
Sm (0.000, 0.250, 0.759)
Sm (0.000, 0.759, 0.250)
Sm (0.793, 0.612, 0.612)
Sm (0.418, 0.935, 0.672)
Sm (0.418, 0.672, 0.935)
Tc (0.499, 0.692, 0.313)
Tc (0.499, 0.313, 0.692)

---

[12]
First-principles (PBE) data for crystalline Th10Sn3Sb3 at its relaxed geometry, as listed in Alexandria via LeMat-Bulk.

Total DFT energy (no corrections) = -6.754 eV per atom
ΔE_f (raw) = -0.59 eV/atom

a = 6.449 Å, b = 9.405 Å, c = 9.405 Å
α = 120.00°, β = 90.00°, γ = 90.00°
Atoms (fractional coordinates):
Th (0.251, 0.667, 0.333)
Th (0.251, 0.333, 0.667)
Th (0.749, 0.333, 0.667)
Th (0.749, 0.667, 0.333)
Th (0.500, 0.000, 0.744)
Th (0.500, 0.744, 0.000)
Th (0.500, 0.256, 0.256)
Th (0.000, 0.000, 0.257)
Th (0.000, 0.257, 0.000)
Th (0.000, 0.743, 0.743)
Sn (0.500, 0.000, 0.387)
Sn (0.500, 0.387, 0.000)
Sn (0.500, 0.613, 0.613)
Sb (0.000, 0.000, 0.614)
Sb (0.000, 0.614, 0.000)
Sb (0.000, 0.386, 0.386)

---

[13]
First-principles (PBE) data for crystalline NbTeI2 at its relaxed geometry, as listed in Alexandria via LeMat-Bulk.

Total DFT energy (no corrections) = -3.395 eV per atom
Excess energy over the best structure of this formula in the dataset = 0.9516 eV per atom
ΔE_f (raw) = 0.68 eV/atom

a = 5.309 Å, b = 5.309 Å, c = 5.309 Å
α = 60.00°, β = 60.00°, γ = 60.00°
Atoms (fractional coordinates):
I (0.250, 0.250, 0.250)
I (0.750, 0.750, 0.750)
Nb (0.000, 0.000, 0.000)
Te (0.500, 0.500, 0.500)

---

[14]
First-principles (PBE) data for crystalline Ba5SrCa3 at its relaxed geometry, as listed in Alexandria via LeMat-Bulk.

Total DFT energy (no corrections) = -1.785 eV per atom
Energy of formation = 137 meV/atom
Excess energy over the best structure of this formula in the dataset = 0.0000 eV per atom

a = 7.753 Å, b = 10.187 Å, c = 14.308 Å
α = 77.16°, β = 90.00°, γ = 112.37°
Atoms (fractional coordinates):
Ba (0.217, 0.000, 0.750)
Ba (0.744, 0.645, 0.923)
Ba (0.830, 0.458, 0.189)
Ba (0.256, 0.355, 0.077)
Ba (0.372, 0.542, 0.311)
Ba (0.783, 0.000, 0.250)
Ba (0.901, 0.645, 0.423)
Ba (0.099, 0.355, 0.577)
Ba (0.628, 0.458, 0.689)
Ba (0.170, 0.542, 0.811)
Sr (0.706, 0.000, 0.750)
Sr (0.294, 0.000, 0.250)
Ca (0.000, 0.000, 0.000)
Ca (0.568, 0.205, 0.474)
Ca (0.000, 0.000, 0.500)
Ca (0.432, 0.795, 0.526)
Ca (0.638, 0.205, 0.974)
Ca (0.362, 0.795, 0.026)

---

[15]
First-principles (PBE) data for crystalline NpZn2PtO8 at its relaxed geometry, as listed in Alexandria via LeMat-Bulk.

Total DFT energy (no corrections) = -6.534 eV per atom
ΔE_f (raw) = -1.43 eV/atom

a = 4.832 Å, b = 4.824 Å, c = 6.293 Å
α = 90.00°, β = 90.00°, γ = 93.80°
Atoms (fractional coordinates):
Np (0.000, 0.000, 0.000)
Zn (0.500, 0.500, 0.740)
Zn (0.500, 0.500, 0.260)
Pt (0.000, 0.000, 0.500)
O (0.189, 0.809, 0.255)
O (0.700, 0.702, 0.000)
O (0.811, 0.191, 0.255)
O (0.811, 0.191, 0.745)
O (0.300, 0.298, 0.000)
O (0.189, 0.809, 0.745)
O (0.703, 0.705, 0.500)
O (0.297, 0.295, 0.500)

---

[16]
First-principles (PBE) data for crystalline KZr2Mo at its relaxed geometry, as listed in Alexandria via LeMat-Bulk.

Total DFT energy (no corrections) = -6.031 eV per atom
Energy of formation = 1226 meV/atom
Excess energy over the best structure of this formula in the dataset = 0.9373 eV per atom

a = 5.070 Å, b = 5.070 Å, c = 5.070 Å
α = 60.00°, β = 60.00°, γ = 60.00°
Atoms (fractional coordinates):
K (0.500, 0.500, 0.500)
Mo (0.750, 0.750, 0.750)
Zr (0.000, 0.000, 0.000)
Zr (0.250, 0.250, 0.250)

---

[17]
First-principles (PBE) data for crystalline SmY12Tm3 at its relaxed geometry, as listed in Alexandria via LeMat-Bulk.

Total DFT energy (no corrections) = -5.956 eV per atom
Energy of formation = 26 meV/atom

a = 5.033 Å, b = 5.033 Å, c = 20.142 Å
α = 90.00°, β = 90.00°, γ = 90.00°
Atoms (fractional coordinates):
Sm (0.000, 0.000, 0.000)
Y (0.500, 0.500, 0.000)
Y (0.500, 0.500, 0.251)
Y (0.500, 0.500, 0.500)
Y (0.500, 0.500, 0.749)
Y (0.500, 0.000, 0.127)
Y (0.500, 0.000, 0.375)
Y (0.500, 0.000, 0.625)
Y (0.500, 0.000, 0.873)
Y (0.000, 0.500, 0.127)
Y (0.000, 0.500, 0.375)
Y (0.000, 0.500, 0.625)
Y (0.000, 0.500, 0.873)
Tm (0.000, 0.000, 0.251)
Tm (0.000, 0.000, 0.500)
Tm (0.000, 0.000, 0.749)

---

[18]
First-principles (PBE) data for crystalline BaCu3W at its relaxed geometry, as listed in Alexandria via LeMat-Bulk.

Total DFT energy (no corrections) = -2.883 eV per atom
Energy of formation = 2549 meV/atom
Excess energy over the best structure of this formula in the dataset = 1.7540 eV per atom

a = 4.952 Å, b = 4.952 Å, c = 4.952 Å
α = 90.00°, β = 90.00°, γ = 90.00°
Atoms (fractional coordinates):
Cu (0.000, 0.500, 0.000)
Cu (0.000, 0.000, 0.500)
Cu (0.500, 0.000, 0.000)
Ba (0.000, 0.000, 0.000)
W (0.500, 0.500, 0.500)

---

[19]
First-principles (PBE) data for crystalline Bi2HRh at its relaxed geometry, as listed in Alexandria via LeMat-Bulk.

Total DFT energy (no corrections) = -4.552 eV per atom
Excess energy over the best structure of this formula in the dataset = 0.1533 eV per atom

a = 3.279 Å, b = 5.442 Å, c = 5.442 Å
α = 68.93°, β = 72.00°, γ = 72.00°
Atoms (fractional coordinates):
Bi (0.057, 0.888, 0.006)
Bi (0.443, 0.494, 0.612)
H (0.250, 0.113, 0.387)
Rh (0.750, 0.005, 0.495)

---

[20]
First-principles (PBE) data for crystalline Sc2MnPdN at its relaxed geometry, as listed in Alexandria via LeMat-Bulk.

Total DFT energy (no corrections) = -8.002 eV per atom
ΔE_f (raw) = -0.93 eV/atom

a = 4.509 Å, b = 4.509 Å, c = 3.602 Å
α = 90.00°, β = 90.00°, γ = 90.00°
Atoms (fractional coordinates):
Sc (0.000, 0.500, 0.000)
Sc (0.500, 0.000, 0.000)
Mn (0.000, 0.000, 0.500)
Pd (0.500, 0.500, 0.500)
N (0.000, 0.000, 0.000)